{
  "formula": "CrGaSeF2",
  "functional": "GGA+U",
  "state": "relaxed",
  "magmom_total_mub_per_atom": 0.745,
  "total_energy_ev_per_fu": -25.6,
  "lattice_angstrom": [[-2.307, -1.160, -3.011], [-1.382, -2.990, 2.211], [-4.233, 3.390, 1.937]],
  "species": ["Cr", "Ga", "Se", "F", "F"],
  "fractional_positions": [[0.000, 0.000, 0.000], [0.500, 0.500, 0.500], [0.000, 0.000, 0.500], [0.000, 0.500, 0.000], [0.500, 0.000, 0.000]]
}